(1)
The following is a DFT calculation (PBE) of crystalline Hf2Nb4Cu3C3 at its relaxed geometry.

Geometry as POSCAR:
```
Hf2Nb4Cu3C3
1.0
4.723 -2.725 0.000
4.723 2.725 0.000
-3.223 0.000 13.513
Nb Hf Cu C
8 4 6 6
Direct
0.696 0.859 0.086
0.800 0.975 0.414
0.975 0.800 0.914
0.200 0.025 0.586
0.141 0.304 0.414
0.304 0.141 0.914
0.025 0.200 0.086
0.859 0.696 0.586
0.375 0.537 0.109
0.537 0.375 0.609
0.463 0.625 0.391
0.625 0.463 0.891
0.585 0.894 0.751
0.415 0.106 0.249
0.068 0.932 0.750
0.106 0.415 0.749
0.894 0.585 0.251
0.932 0.068 0.250
0.825 0.337 0.500
0.175 0.663 0.500
0.500 0.000 0.500
0.663 0.175 0.000
0.000 0.500 0.000
0.337 0.825 0.000
```

Output
**Final energy**: -8.594 eV per atom

***

(2)
The following is a DFT calculation (PBE) of crystalline BiMoPb2 at its relaxed geometry.

Geometry as POSCAR:
```
BiMoPb2
1.0
0.000 3.698 3.698
3.698 0.000 3.698
3.698 3.698 0.000
Pb Mo Bi
2 1 1
Direct
0.000 0.000 0.000
0.750 0.750 0.750
0.250 0.250 0.250
0.500 0.500 0.500
```

Output
**Final energy**: -4.821 eV per atom